DFT (PBE+U) results for Al2FeBF after structural relaxation.

Geometry as extended XYZ:
```
5
Lattice="4.155 0.000 0.000 0.000 4.155 0.000 0.000 0.000 4.043" Properties=species:S:1:pos:R:3 pbc="T T T"
Al 0.000 2.077 0.000
Al 2.077 0.000 0.000
Fe 0.000 0.000 2.022
B 2.077 2.077 2.022
F 2.077 2.077 0.000
```

raw total energy = -3.75 eV/atom
space group = No. 123
V = 13.958 Å³ per atom
ρ = 3.322 g cm⁻³